Density functional theory data (PBE) for a relaxed structure of NaPmInSn.

Properties
Formation energy from the elements in eV per atom: -0.335
Space-group type: F-43m
E above lowest polymorph in eV per atom: 0.0826

```
data_NaPmInSn
_cell_length_a 5.379
_cell_length_b 5.379
_cell_length_c 5.379
_cell_angle_alpha 60.00
_cell_angle_beta 60.00
_cell_angle_gamma 60.00
_space_group_name_H-M_alt 'P 1'
_space_group_IT_number 1
_space_group_name_Hall 'P 1'
loop_
_atom_site_label
_atom_site_type_symbol
_atom_site_fract_x
_atom_site_fract_y
_atom_site_fract_z
_atom_site_occupancy
Na1 Na 0.250 0.250 0.250 1
In1 In 0.000 0.000 0.000 1
Sn1 Sn 0.500 0.500 0.500 1
Pm1 Pm 0.750 0.750 0.750 1
```